## 1
The following is a PBE calculation of a geometry-optimized Ho3Tm6Sc structure, from the Alexandria database.

The structure belongs to space group Cmc2_1 (No. 36); the cell edges are 10.772, 18.609 and 6.063 Å and the angles 90.00°, 90.00° and 90.00°. The inequivalent atoms are Ho at (0.000, 0.110, 0.000), Ho at (0.167, 0.390, 0.387), Tm at (0.000, 0.219, 0.570), Tm at (0.000, 0.450, 0.862), Tm at (0.164, 0.047, 0.467), Tm at (0.250, 0.210, 0.295) and Sc at (0.000, 0.291, 0.076).

Its total magnetization is 0.02 μB per cell. The value obtained for the volume is 304 Å³/f.u. The density of states at the Fermi level comes out at 15.7 states/eV/f.u.

=====

## 2
The following is a PBE calculation of a geometry-optimized Ho3Tm6Sc structure, from the Alexandria database.

The structure belongs to space group P2_1/m (No. 11); the cell edges are 10.989, 4.917 and 10.997 Å and the angles 90.00°, 90.04° and 90.00°. The inequivalent atoms are Ho at (0.050, 0.250, 0.400), Ho at (0.151, 0.750, 0.201), Ho at (0.251, 0.250, 0.001), Tm at (0.051, 0.750, 0.899), Tm at (0.154, 0.250, 0.698), Tm at (0.256, 0.750, 0.501), Tm at (0.352, 0.750, 0.798), Tm at (0.354, 0.250, 0.305), Tm at (0.451, 0.750, 0.103) and Sc at (0.451, 0.250, 0.598).

Its total magnetization is 0.00 μB per cell. The value obtained for the volume is 297 Å³/f.u. The density of states at the Fermi level comes out at 14.3 states/eV/f.u.

=====

Quick one: most stable of them? 2

=====

## 1
The following is a PBE calculation of a geometry-optimized Ho2Tm4Sc5 structure, from the Alexandria database.

The structure belongs to space group C2/m (No. 12); the cell edges are 22.631, 3.340 and 8.272 Å and the angles 90.00°, 93.34° and 90.00°. The inequivalent atoms are Ho at (0.088, 0.000, 0.196), Tm at (0.044, 0.500, 0.839), Tm at (0.227, 0.000, 0.325), Sc at (0.000, 0.000, 0.500), Sc at (0.129, 0.500, 0.540) and Sc at (0.188, 0.500, 0.976).

Its total magnetization is 0.00 μB per cell. The value obtained for the volume is 312 Å³/f.u. The density of states at the Fermi level comes out at 19.1 states/eV/f.u.

=====

## 2
The following is a PBE calculation of a geometry-optimized Ho2Tm4Sc5 structure, from the Alexandria database.

The structure belongs to space group P2/m (No. 10); the cell edges are 8.601, 3.432 and 11.101 Å and the angles 90.00°, 108.86° and 90.00°. The inequivalent atoms are Ho at (0.133, 0.000, 0.408), Tm at (0.241, 0.500, 0.718), Tm at (0.253, 0.500, 0.153), Sc at (0.089, 0.000, 0.897), Sc at (0.496, 0.000, 0.631) and Sc at (0.500, 0.000, 0.000).

Its total magnetization is 0.50 μB per cell. The value obtained for the volume is 310 Å³/f.u. The density of states at the Fermi level comes out at 12.3 states/eV/f.u.

=====

Quick one: most stable of them? 2

=====

## 1
The following is a PBE calculation of a geometry-optimized Ho2Tm3Sc structure, from the Alexandria database.

The structure belongs to space group C2/c (No. 15); the cell edges are 16.942, 6.930 and 5.998 Å and the angles 90.00°, 90.03° and 90.00°. The inequivalent atoms are Ho at (0.165, 0.126, 0.415), Tm at (0.000, 0.128, 0.750), Tm at (0.164, 0.376, 0.919) and Sc at (0.000, 0.377, 0.250).

Its total magnetization is 0.00 μB per cell. The value obtained for the volume is 176 Å³/f.u. The density of states at the Fermi level comes out at 8.9 states/eV/f.u.

=====

## 2
The following is a PBE calculation of a geometry-optimized Ho2Tm3Sc structure, from the Alexandria database.

The structure belongs to space group C2/m (No. 12); the cell edges are 17.298, 3.403 and 13.810 Å and the angles 90.00°, 117.58° and 90.00°. The inequivalent atoms are Ho at (0.156, 0.000, 0.469), Ho at (0.179, 0.500, 0.880), Tm at (0.039, 0.500, 0.216), Tm at (0.099, 0.000, 0.026), Tm at (0.241, 0.000, 0.293) and Sc at (0.062, 0.000, 0.641).

Its total magnetization is 0.04 μB per cell. The value obtained for the volume is 180 Å³/f.u. The density of states at the Fermi level comes out at 10.4 states/eV/f.u.

=====

Quick one: most stable of them? 1

=====

## 1
The following is a PBE calculation of a geometry-optimized HoTm6Sc2 structure, from the Alexandria database.

The structure belongs to space group P-6m2 (No. 187); the cell edges are 3.4888, 3.4888 and 25.1055 Å and the angles 90.00°, 90.00° and 120.00°. The inequivalent atoms are Ho at (0.0000, 0.0000, 0.0000), Tm at (0.0000, 0.0000, 0.2243), Tm at (0.0000, 0.0000, 0.4330), Tm at (0.3333, 0.6667, 0.1122) and Sc at (0.3333, 0.6667, 0.3292).

Its total magnetization is 0.18 μB per cell. The value obtained for the volume is 265 Å³/f.u. The density of states at the Fermi level comes out at 15.8 states/eV/f.u.

=====

## 2
The following is a PBE calculation of a geometry-optimized HoTm6Sc2 structure, from the Alexandria database.

The structure belongs to space group C2/c (No. 15); the cell edges are 12.319, 13.963 and 6.287 Å and the angles 90.00°, 103.53° and 90.00°. The inequivalent atoms are Ho at (0.000, 0.118, 0.250), Tm at (0.042, 0.317, 0.010), Tm at (0.143, 0.088, 0.808), Tm at (0.236, 0.309, 0.717) and Sc at (0.134, 0.481, 0.362).

Its total magnetization is 0.00 μB per cell. The value obtained for the volume is 263 Å³/f.u. The density of states at the Fermi level comes out at 12.3 states/eV/f.u.

=====

Quick one: most stable of them? 1

=====

## 1
The following is a PBE calculation of a geometry-optimized Ho3Tm2Sc7 structure, from the Alexandria database.

The structure belongs to space group P2/m (No. 10); the cell edges are 5.437, 3.399 and 17.635 Å and the angles 90.00°, 92.87° and 90.00°. The inequivalent atoms are Ho at (0.000, 0.000, 0.000), Ho at (0.276, 0.500, 0.631), Tm at (0.211, 0.000, 0.291), Sc at (0.197, 0.500, 0.142), Sc at (0.243, 0.000, 0.463), Sc at (0.302, 0.000, 0.826) and Sc at (0.500, 0.500, 0.000).

Its total magnetization is 0.00 μB per cell. The value obtained for the volume is 325 Å³/f.u. The density of states at the Fermi level comes out at 17.8 states/eV/f.u.

=====

## 2
The following is a PBE calculation of a geometry-optimized Ho3Tm2Sc7 structure, from the Alexandria database.

The structure belongs to space group P2/m (No. 10); the cell edges are 3.494, 5.250 and 18.923 Å and the angles 90.00°, 95.30° and 90.00°. The inequivalent atoms are Ho at (0.000, 0.000, 0.000), Ho at (0.327, 0.500, 0.655), Tm at (0.137, 0.000, 0.273), Sc at (0.083, 0.500, 0.165), Sc at (0.216, 0.000, 0.433), Sc at (0.433, 0.000, 0.866) and Sc at (0.500, 0.500, 0.000).

Its total magnetization is 1.33 μB per cell. The value obtained for the volume is 346 Å³/f.u. The density of states at the Fermi level comes out at 20.2 states/eV/f.u.

=====

Quick one: most stable of them? 1

=====

## 1
The following is a PBE calculation of a geometry-optimized Ho4Tm2Sc3 structure, from the Alexandria database.

The structure belongs to space group C2/c (No. 15); the cell edges are 15.369, 11.191 and 5.997 Å and the angles 90.00°, 94.83° and 90.00°. The inequivalent atoms are Ho at (0.048, 0.142, 0.010), Ho at (0.215, 0.358, 0.843), Tm at (0.118, 0.359, 0.324), Sc at (0.000, 0.402, 0.750) and Sc at (0.167, 0.099, 0.582).

Its total magnetization is 0.00 μB per cell. The value obtained for the volume is 257 Å³/f.u. The density of states at the Fermi level comes out at 13.0 states/eV/f.u.

=====

## 2
The following is a PBE calculation of a geometry-optimized Ho4Tm2Sc3 structure, from the Alexandria database.

The structure belongs to space group C2/c (No. 15); the cell edges are 13.035, 12.990 and 6.171 Å and the angles 90.00°, 94.40° and 90.00°. The inequivalent atoms are Ho at (0.107, 0.202, 0.117), Ho at (0.127, 0.316, 0.613), Tm at (0.212, 0.442, 0.066), Sc at (0.000, 0.465, 0.250) and Sc at (0.090, 0.066, 0.591).

Its total magnetization is 0.00 μB per cell. The value obtained for the volume is 260 Å³/f.u. The density of states at the Fermi level comes out at 11.3 states/eV/f.u.

=====

Quick one: most stable of them? 2

=====

## 1
The following is a PBE calculation of a geometry-optimized Ho4Tm4Sc structure, from the Alexandria database.

The structure belongs to space group I-42m (No. 121); the cell edges are 5.215, 5.215 and 22.999 Å and the angles 90.00°, 90.00° and 90.00°. The inequivalent atoms are Ho at (0.000, 0.000, 0.249), Ho at (0.000, 0.500, 0.000), Tm at (0.248, 0.248, 0.625) and Sc at (0.000, 0.000, 0.500).

Its total magnetization is 5.30 μB per cell. The value obtained for the volume is 313 Å³/f.u. The density of states at the Fermi level comes out at 15.7 states/eV/f.u.

=====

## 2
The following is a PBE calculation of a geometry-optimized Ho4Tm4Sc structure, from the Alexandria database.

The structure belongs to space group I4/mmm (No. 139); the cell edges are 10.444, 10.444 and 4.912 Å and the angles 90.00°, 90.00° and 90.00°. The inequivalent atoms are Ho at (0.165, 0.165, 0.000), Tm at (0.000, 0.332, 0.500) and Sc at (0.000, 0.000, 0.500).

Its total magnetization is 0.00 μB per cell. The value obtained for the volume is 268 Å³/f.u. The density of states at the Fermi level comes out at 12.5 states/eV/f.u.

=====

Quick one: most stable of them? 2

=====

## 1
The following is a PBE calculation of a geometry-optimized HoTmSc structure, from the Alexandria database.

The structure belongs to space group Pmmn (No. 59, origin choice 2); the cell edges are 3.348, 3.369 and 15.515 Å and the angles 90.00°, 90.00° and 90.00°. The inequivalent atoms are Ho at (0.250, 0.250, 0.080), Tm at (0.250, 0.750, 0.275) and Sc at (0.250, 0.750, 0.573).

Its total magnetization is 0.00 μB per cell. The value obtained for the volume is 87 Å³/f.u. The density of states at the Fermi level comes out at 5.2 states/eV/f.u.

=====

## 2
The following is a PBE calculation of a geometry-optimized HoTmSc structure, from the Alexandria database.

The structure belongs to space group Cmmm (No. 65); the cell edges are 10.942, 11.493 and 3.295 Å and the angles 90.00°, 90.00° and 90.00°. The inequivalent atoms are Ho at (0.000, 0.239, 0.000), Tm at (0.000, 0.000, 0.500), Tm at (0.000, 0.500, 0.000) and Sc at (0.239, 0.500, 0.500).

Its total magnetization is 0.02 μB per cell. The value obtained for the volume is 104 Å³/f.u. The density of states at the Fermi level comes out at 5.2 states/eV/f.u.

=====

Quick one: most stable of them? 1

=====

## 1
The following is a PBE calculation of a geometry-optimized Ho2Tm2Sc5 structure, from the Alexandria database.

The structure belongs to space group Ima2 (No. 46); the cell edges are 11.594, 8.250 and 10.440 Å and the angles 90.00°, 90.00° and 90.00°. The inequivalent atoms are Ho at (0.000, 0.000, 0.000), Ho at (0.250, 0.106, 0.126), Tm at (0.106, 0.127, 0.434), Sc at (0.099, 0.691, 0.745), Sc at (0.125, 0.063, 0.737) and Sc at (0.250, 0.716, 0.003).

Its total magnetization is 0.00 μB per cell. The value obtained for the volume is 250 Å³/f.u. The density of states at the Fermi level comes out at 12.8 states/eV/f.u.

=====

## 2
The following is a PBE calculation of a geometry-optimized Ho2Tm2Sc5 structure, from the Alexandria database.

The structure belongs to space group P-1 (No. 2); the cell edges are 3.360, 8.219 and 9.101 Å and the angles 77.12°, 89.83° and 89.41°. The inequivalent atoms are Ho at (0.245, 0.325, 0.289), Tm at (0.229, 0.982, 0.841), Sc at (0.223, 0.677, 0.386), Sc at (0.259, 0.358, 0.926) and Sc at (0.500, 0.000, 0.500).

Its total magnetization is 0.00 μB per cell. The value obtained for the volume is 245 Å³/f.u. The density of states at the Fermi level comes out at 17.0 states/eV/f.u.

=====

Quick one: most stable of them? 2

=====

## 1
The following is a PBE calculation of a geometry-optimized Ho3Tm3Sc structure, from the Alexandria database.

The structure belongs to space group R-3 (No. 148, hexagonal axes); the cell edges are 6.0693, 6.0693 and 40.9934 Å and the angles 90.00°, 90.00° and 120.00°. The inequivalent atoms are Ho at (0.0003, 0.3311, 0.1319), Tm at (0.0002, 0.3349, 0.9365) and Sc at (0.0000, 0.0000, 0.3333).

Its total magnetization is 0.01 μB per cell. The value obtained for the volume is 218 Å³/f.u. The density of states at the Fermi level comes out at 10.0 states/eV/f.u.

=====

## 2
The following is a PBE calculation of a geometry-optimized Ho3Tm3Sc structure, from the Alexandria database.

The structure belongs to space group P6_3/m (No. 176); the cell edges are 9.3694, 9.3694 and 5.5149 Å and the angles 90.00°, 90.00° and 120.00°. The inequivalent atoms are Ho at (0.0509, 0.2423, 0.2500), Tm at (0.0965, 0.4784, 0.7500) and Sc at (0.3333, 0.6667, 0.2500).

Its total magnetization is 0.00 μB per cell. The value obtained for the volume is 210 Å³/f.u. The density of states at the Fermi level comes out at 14.5 states/eV/f.u.

=====

Quick one: most stable of them? 2